No. 1
18
Lattice="-7.8588 0.2026 1.4718 1.0690 -3.3874 1.5450 3.7434 2.7863 3.3506" Properties=species:S:1:pos:R:3 comment="GGA-PBE PmH12Rh5, optimized geometry" m_tot_mub_per_fu=0.00 e_tot_ev_per_atom=-4.6850 pbc="T T T"
H -0.5427 -0.7699 3.8268
Rh -2.4014 -1.2684 3.8009
H -3.7466 1.5637 3.8421
Pm 2.4062 -0.3006 2.4478
H -0.5832 1.6895 4.3307
H -2.5036 0.3714 2.5405
Rh 0.0000 0.0000 0.0000
H -2.4631 -2.0881 2.0366
H 0.7003 -1.9622 2.5252
H 0.9460 1.5007 2.7425
Rh -0.4758 0.1262 5.4256
H -0.7803 -0.6317 1.4744
H 3.1222 -0.1319 4.7329
H -3.9923 -1.8993 3.6248
H -2.2661 0.2331 4.8929
Rh -2.5705 -0.5248 0.9418
Rh -0.6449 0.8699 2.5665
H -6.1685 -0.2666 1.6344

***

No. 2
14
Lattice="7.5995 -0.0349 0.0600 -2.6042 7.1394 -0.0600 -2.3911 -3.6272 6.2356" Properties=species:S:1:pos:R:3 comment="GGA-PBE Pm8HRh5, optimized geometry" m_tot_mub_per_fu=0.00 e_tot_ev_per_atom=-6.1712 pbc="T T T"
Pm -2.2775 3.6765 2.9524
Rh 0.0381 -2.7292 6.1847
Rh 3.7411 5.3804 1.4712
Pm -3.2634 1.7219 6.1545
Pm -2.1269 -1.6918 4.6898
Rh 2.6042 -1.8310 3.1478
Pm 1.8391 -0.6163 5.5577
Pm 0.2747 0.3795 2.4466
Rh -1.1980 2.1507 0.8057
Pm 1.6406 3.4781 1.7363
H -1.1956 0.8406 4.6617
Rh 2.6272 2.1528 4.0096
Pm 4.0061 0.4165 2.2249
Pm 0.3334 2.9528 5.3560

***

No. 3
17
Lattice="5.8477 1.5862 -0.7399 -2.1186 4.8059 -1.9852 0.3967 -0.9675 5.5166" Properties=species:S:1:pos:R:3 comment="GGA-PBE PmH11Rh5, optimized geometry" m_tot_mub_per_fu=0.00 e_tot_ev_per_atom=-4.6898 pbc="T T T"
Pm 4.1257 5.4246 2.7915
Rh 0.4361 4.3419 1.3745
H 2.9238 0.7931 -0.3700
H 0.2364 4.4782 -0.4263
Rh 2.9734 2.7267 -0.7193
H -1.0546 3.6080 1.1402
H 3.2535 2.8256 1.0837
H 3.8893 0.9465 3.2178
H -0.2717 1.8111 3.4750
Rh 3.6897 1.0827 1.4170
H 1.7286 1.0531 4.0243
Rh 1.1523 2.6979 3.5108
H 4.3975 3.6135 -0.6835
Rh -0.8610 1.9192 1.7657
H 0.8722 2.5990 1.7078
H 5.1803 1.8167 1.6513
H 2.3971 4.3716 -1.2328

***

No. 4
7
Lattice="3.6507 0.0000 0.0000 0.0000 3.6507 0.0000 -1.8253 -1.8253 6.4606" Properties=species:S:1:pos:R:3 comment="GGA-PBE Pm2H4Rh, optimized geometry" m_tot_mub_per_fu=0.00 e_tot_ev_per_atom=-4.8001 pbc="T T T"
Pm 1.8253 1.8253 1.9187
H 1.8253 0.0000 0.0000
Pm 0.0000 0.0000 4.5419
H 0.0000 1.8253 0.0000
Rh 0.0000 0.0000 0.0000
H 1.8253 1.8253 4.5155
H 0.0000 0.0000 1.9451

***

No. 5
3
Lattice="3.6807 0.0000 0.0000 0.0000 3.9038 0.0000 0.0000 -1.9519 3.3808" Properties=species:S:1:pos:R:3 comment="GGA-PBE PmHRh, optimized geometry" m_tot_mub_per_fu=0.00 e_above_lowest_polymorph_mev_per_atom=311 pbc="T T T"
Pm 2.4537 1.9519 1.1269
Rh 0.6129 0.0000 0.0000
H 0.6141 0.0000 2.2539

***

No. 6
12
Lattice="-2.7561 -2.3865 -3.6256 2.9844 -4.1655 0.4221 -4.5479 0.6183 6.7217" Properties=species:S:1:pos:R:3 comment="GGA-PBE Pm2H3Rh, optimized geometry" m_tot_mub_per_fu=0.00 e_tot_ev_per_atom=-4.9117 pbc="T T T"
Rh -1.2188 -4.0751 -0.0624
Pm 0.0586 -1.6803 -0.8216
H -4.8751 -1.8046 3.3436
Pm -0.7247 -3.4116 2.7710
H -1.9027 -3.3673 -1.5587
H -2.2825 -4.7127 1.1659
Pm -3.5949 -2.5222 0.7472
Pm 0.1698 -4.8717 -2.3819
Rh -3.1007 -1.8587 3.5806
H 0.5555 -4.1292 0.1746
H -2.0371 -1.2211 2.3523
H -2.4168 -2.5665 5.0769

***

No. 7
6
Lattice="-0.2922 0.9138 -4.1993 -2.7841 -2.7467 1.8053 -4.1727 5.1583 1.4128" Properties=species:S:1:pos:R:3 comment="GGA-PBE PmHRh, optimized geometry" m_tot_mub_per_fu=0.00 e_above_lowest_polymorph_mev_per_atom=125 pbc="T T T"
Rh 0.0000 0.0000 0.0000
H -3.1296 3.8687 1.0596
H -1.0432 1.2896 0.3532
Pm -2.9967 -0.2369 0.1569
Pm -4.2524 3.5623 -1.1382
Rh -2.0864 2.5791 0.7064

***

No. 8
12
Lattice="-3.3940 4.6994 1.4681 -3.2167 -5.8933 -0.7507 2.2375 -0.5925 7.0690" Properties=species:S:1:pos:R:3 comment="GGA-PBE Pm3HRh2, optimized geometry" m_tot_mub_per_fu=0.00 e_tot_ev_per_atom=-5.9708 pbc="T T T"
Pm -0.4649 -1.0377 4.7895
Pm -0.8269 1.7714 2.3669
Pm -0.8750 -1.7226 0.9485
Pm -3.9084 -0.7486 2.9969
Rh -1.8807 -3.0537 3.2193
Rh -1.3772 -2.4980 7.0200
H 0.4607 -0.0115 1.8099
H -1.6172 4.1184 6.7272
Pm -0.3296 2.3356 6.1702
Rh -2.9961 0.7117 0.7664
Rh -2.4926 1.2674 4.5670
Pm -3.4982 -0.0637 6.8379

***

No. 9
16
Lattice="5.8333 0.0000 0.0000 0.0000 5.7162 0.6962 0.0000 -2.1456 6.0408" Properties=species:S:1:pos:R:3 comment="GGA-PBE PmH2Rh, optimized geometry" m_tot_mub_per_fu=0.00 e_above_lowest_polymorph_mev_per_atom=72 pbc="T T T"
H 2.0801 1.3558 2.8239
H 2.5390 -0.2579 4.6140
Pm 4.6330 1.9302 6.0421
H 5.4557 -0.1024 4.7953
H 0.3777 3.6730 1.9417
Rh 0.9328 0.5992 3.8316
H 0.8365 3.1411 6.1924
H 3.7532 2.2148 3.9130
Rh 1.9839 4.5301 1.1592
H 4.9968 0.4295 0.5445
Rh 3.8494 -0.9595 5.5777
Rh 4.9005 2.9714 2.9054
H 3.2943 3.8285 2.1230
Pm 1.7164 3.4257 4.0634
Pm 4.1170 0.1449 2.6736
Pm 1.2003 1.6404 0.6949

***

No. 10
80
Lattice="-1.4452 1.1763 -13.2653 11.1384 -6.9422 2.6800 -10.5965 -6.4191 5.0942" Properties=species:S:1:pos:R:3 comment="GGA-PBE Pm12H5Rh3, optimized geometry" m_tot_mub_per_fu=0.00 e_tot_ev_per_atom=-5.1712 pbc="T T T"
H 4.1995 -7.4667 2.2621
Pm -4.0887 -8.0080 4.8563
Pm 3.1855 -4.1769 -10.3474
Rh -2.5213 -1.4433 -9.9986
Rh -2.6717 -9.6615 2.8161
Pm -9.5598 -5.2564 -7.3031
Pm -0.5697 -9.5969 -5.8137
Pm -3.1198 -3.9614 -8.5138
Pm 8.6566 -6.9285 1.8120
H 5.5692 -3.4711 1.3400
H -1.8213 -10.0881 -1.8234
Rh -6.6680 -7.2052 3.4693
Pm 0.0015 -0.1666 -9.0449
Pm 5.8833 -7.1324 -6.8974
Pm 0.0964 -4.7975 -7.1875
Pm 2.2165 -8.2235 3.0226
Rh -2.9427 -2.9808 -1.0710
Pm -6.7865 -5.0525 1.4063
Rh 1.7685 -2.5235 -8.3072
Rh -2.0923 -3.4075 -5.7105
Pm -7.2340 -7.0347 -4.9567
Pm -3.8720 -9.1752 -2.0344
Pm -1.2864 -10.5332 0.3211
Rh 1.1891 -8.7774 0.2194
Pm -4.2458 -8.9394 -5.4511
Pm -2.6804 -5.9928 -1.3544
Pm -5.5201 -4.1554 -2.0097
Pm 2.6733 -10.4742 -1.7357
H 0.2710 -6.6806 3.8871
H -7.0970 -5.2409 -0.8188
Pm -0.9047 -12.0183 3.5538
Pm -0.7331 -8.8697 4.9419
Rh -4.6737 -6.6824 -3.4652
Pm 1.1044 -5.9191 -0.6333
Pm 3.3426 -3.2456 -0.0400
Pm -0.3335 -2.5880 0.3225
Rh 1.6181 -10.7417 4.5075
Pm -0.9996 -7.3874 1.6964
H -5.1027 -4.7182 -7.7533
H -2.2503 -8.1239 -6.1115
Pm -3.0319 -4.2335 1.6937
Pm 1.7772 -6.1921 -4.1368
H -8.9635 -5.6022 -5.1566
Pm -0.1789 -8.6950 -2.4904
Pm 2.1287 -7.9514 -7.1848
H 6.1938 -6.9440 -4.6723
H 4.8466 -2.8829 -5.2927
H 1.9040 -5.8638 -6.3637
Pm 2.9688 -3.0097 -3.4568
Pm 3.6136 -4.5140 -6.9455
Rh 5.7647 -4.9797 -8.9604
Pm -2.0076 -6.2658 -4.8578
Pm 8.6484 -5.5299 -8.1842
H 0.9181 -2.0968 -3.6677
Rh 3.7705 -5.5025 -2.0260
Pm 4.0050 -7.6580 0.0241
H -6.0208 -2.6214 -4.0855
Pm -4.9083 -4.5269 -5.5153
H -0.7226 0.5882 -6.6326
Pm 0.3832 -1.6517 -5.8122
Pm -0.7243 -3.4899 -3.0008
Pm -0.1701 -3.3152 -10.4330
Pm -6.9211 -7.3691 -1.5420
H -5.2982 -3.2095 2.5471
H 1.3471 -4.0610 0.6204
Pm 1.9782 -11.3290 1.5501
Pm -6.8489 -3.5526 -8.5750
H -0.4516 -6.0925 -2.7456
H -2.8072 -6.3211 0.8725
Pm -2.8814 -0.8559 -7.0412
Pm 4.6169 -8.0295 -3.4814
Rh 2.0395 -9.2041 -4.4201
Pm 5.9457 -8.6323 3.0839
Pm -9.5516 -6.6550 2.6930
H 8.0603 -6.5827 -0.3346
Pm 6.3308 -5.1502 -0.5344
Pm -4.5168 -7.6709 1.4544
Pm 6.0179 -4.8158 -3.9491
H 0.0000 0.0000 0.0000
Pm -3.5765 -1.7108 -3.7554

***

No. 11
14
Lattice="4.3302 0.6716 1.3109 1.1191 4.2367 1.3109 1.0284 0.9263 7.6536" Properties=species:S:1:pos:R:3 comment="GGA-PBE PmH5Rh, optimized geometry" m_tot_mub_per_fu=0.00 e_tot_ev_per_atom=-4.5937 pbc="T T T"
Pm 2.9817 2.6858 3.2243
Rh 0.5142 0.4632 3.8268
H 3.7974 4.9916 8.7634
H 4.8458 2.7935 4.9366
H 1.1161 2.5778 1.5112
Pm 3.4961 3.1488 7.0511
H 5.3617 3.2568 8.7641
H 2.6803 0.8430 1.5120
H 1.6319 3.0410 5.3387
H 5.1015 1.3664 7.0511
H 3.1943 1.3046 5.3380
H 1.3763 4.4682 3.2243
Rh 0.0000 0.0000 0.0000
H 3.2835 4.5300 4.9373

***

No. 12
20
Lattice="-3.9647 4.9845 -2.3194 -6.5909 -5.8432 -1.2912 -1.3287 2.8227 8.3377" Properties=species:S:1:pos:R:3 comment="GGA-PBE Pm6HRh3, optimized geometry" m_tot_mub_per_fu=0.00 e_tot_ev_per_atom=-5.9261 pbc="T T T"
H -7.6002 -1.4010 -0.5214
Rh -9.0469 -1.1564 3.7646
Pm -9.2293 -0.4339 0.8763
Pm -7.8851 1.6773 3.4039
Rh -5.0364 1.4546 3.5842
Rh -9.8784 3.2312 4.7108
Rh -8.1285 2.1193 0.3939
Pm -5.1973 2.7024 1.0124
Pm -2.1216 3.1062 7.5681
Pm -8.8749 -2.2585 -2.3215
Rh -3.7123 0.8782 -0.9819
Pm -2.2992 1.9506 4.0591
Pm -5.2236 4.2826 4.5860
Pm -6.6442 0.5520 -1.4238
H -2.5411 1.1736 6.2682
Rh -4.5438 5.2658 -0.0356
Pm -6.2159 -1.3308 3.9904
Pm -4.8843 0.9647 6.3591
Pm -3.5281 -0.3057 1.5990
Pm -6.1365 -2.9777 0.4479

***

No. 13
6
Lattice="3.6684 0.0000 -0.0116 0.0000 4.9660 -0.0023 0.0160 0.0023 5.0896" Properties=species:S:1:pos:R:3 comment="GGA-PBE PmHRh, optimized geometry" m_tot_mub_per_fu=0.00 e_above_lowest_polymorph_mev_per_atom=23 pbc="T T T"
H 2.9838 2.7298 2.0071
Pm 1.1536 1.4889 3.2899
Pm 1.1456 3.9707 0.7358
Rh 2.9880 3.9720 3.4297
H 2.9837 0.2469 2.0082
Rh 2.9791 1.4877 0.5841

***

No. 14
5
Lattice="4.1357 0.0000 0.0000 0.0000 4.1357 0.0000 0.0000 0.0000 4.1357" Properties=species:S:1:pos:R:3 comment="GGA-PBE PmHRh3, optimized geometry" m_tot_mub_per_fu=0.00 e_tot_ev_per_atom=-6.4395 pbc="T T T"
H 0.0000 0.0000 0.0000
Pm 2.0679 2.0679 2.0679
Rh 2.0679 0.0000 0.0000
Rh 0.0000 2.0679 0.0000
Rh 0.0000 0.0000 2.0679

***

No. 15
12
Lattice="7.0685 0.0000 0.0000 0.0000 4.7401 -1.0496 0.0000 1.2029 5.4329" Properties=species:S:1:pos:R:3 comment="GGA-PBE PmHRh, optimized geometry" m_tot_mub_per_fu=0.00 e_above_lowest_polymorph_mev_per_atom=0 pbc="T T T"
H 5.6708 1.4407 0.8924
Rh 6.7481 4.3553 2.8270
Rh 3.8546 1.3838 0.6354
H 1.3977 4.5023 3.4909
H 4.9320 4.4122 3.0841
Pm 1.2685 2.2119 4.3752
H 2.1365 1.5308 1.2992
Pm 5.8000 3.7311 0.0081
Rh 3.2139 4.5592 3.7479
Rh 0.3204 1.5877 1.5563
Pm 2.2658 3.9805 1.1339
Pm 4.8027 1.9625 3.2494

***

No. 16
7
Lattice="-1.3087 4.2727 1.5097 -2.7133 -1.2181 -3.6608 -0.5034 -3.1462 3.4779" Properties=species:S:1:pos:R:3 comment="GGA-PBE PmH4Rh2, optimized geometry" m_tot_mub_per_fu=0.00 e_above_lowest_polymorph_mev_per_atom=79 pbc="T T T"
Rh -1.9115 1.3269 1.9560
Rh -2.6139 -1.4185 -0.6292
H -1.9697 -1.9576 0.9030
H -1.5474 -0.3070 2.4573
Pm 0.0000 0.0000 0.0000
H -2.9780 0.2153 -1.1305
H -2.5557 1.8659 0.4237

***

No. 17
12
Lattice="-4.2704 2.9178 0.3179 1.1333 -3.3547 3.7832 3.3043 4.5083 3.0079" Properties=species:S:1:pos:R:3 comment="GGA-PBE PmH2Rh, optimized geometry" m_tot_mub_per_fu=0.00 e_above_lowest_polymorph_mev_per_atom=0 pbc="T T T"
H -0.4655 -1.8352 3.2977
Rh -0.1742 5.7573 2.7245
Pm 2.9587 0.7681 4.5285
Pm -1.0448 -0.1455 1.3658
H 0.8006 2.2641 4.6926
Rh 0.6658 2.1168 2.7934
H 0.9918 0.3237 2.9258
H 0.0811 5.8298 4.5324
Pm -1.7468 3.4488 1.2147
Rh 1.3277 -1.5486 3.0950
H -1.1751 1.7318 3.1246
H 0.2687 3.8999 2.7538

***

No. 18
11
Lattice="-1.4362 0.8302 -3.3762 -3.9281 -1.2487 1.3640 1.4745 6.1389 2.9779" Properties=species:S:1:pos:R:3 comment="GGA-PBE Pm2H8Rh, optimized geometry" m_tot_mub_per_fu=0.00 e_tot_ev_per_atom=-4.3384 pbc="T T T"
H -1.8835 1.4044 -0.9491
H -3.0678 5.9800 0.6798
H -0.5721 2.8097 0.9343
H -3.3176 2.9107 0.0314
Pm -2.3163 1.1161 1.2598
H -0.8220 -0.2596 0.2858
Pm -1.5735 4.6043 -0.2942
H -2.0063 4.3159 1.9147
H 0.1160 4.9875 1.1770
Rh -0.7181 0.4151 -1.6881
H -4.0058 0.7329 -0.2114